# Pr3Er4Tm4

An optimized crystal structure of Pr3Er4Tm4 (PBE, Alexandria via LeMat-Bulk).

Cell lengths 3.5638, 5.0076, 19.8292 Å; angles 97.24, 95.15, 90.01 degrees
With the nearest neighbours (Å) after each atom.
Space group P-1 (No. 2)
Inequivalent atoms, fractional coordinates:
Pr 0.0000 0.0000 0.0000 (multiplicity 1)  2 Tm 3.56, 2 Pr 3.56, 8 Er 3.57
Pr 0.3625 0.3631 0.7253 (multiplicity 2)  5 Tm 3.55-3.57, 2 Pr 3.56, 5 Er 3.57
Er 0.1834 0.1832 0.3672 (multiplicity 2)  6 Tm 3.47-3.63, 2 Er 3.56, 4 Pr 3.57
Er 0.4537 0.4538 0.9073 (multiplicity 2)  4 Tm 3.53, 3 Er 3.56-3.63, 5 Pr 3.57
Tm 0.0911 0.0907 0.1817 (multiplicity 2)  5 Er 3.53-3.63, 5 Pr 3.56-3.57, 2 Tm 3.56
Tm 0.2723 0.2724 0.5443 (multiplicity 2)  5 Er 3.47-3.53, 6 Tm 3.53-3.56, 1 Pr 3.55

Properties
**Raw total energy**: -4.563 eV/atom
**N(E_F)**: 13.88 states/eV/f.u.
**ΔE to the lowest computed polymorph**: 0.000 eV/atom
**Theoretical density**: 8.39 g/cm3
**Energy relative to the elements**: 25.2 meV/atom